Record 1
The following is a PBE calculation of ZrWS3 after structural relaxation, from Alexandria via LeMat-Bulk.

Properties
E_form (uncorrected) ... 0.3 eV/f.u.
Magnetization ... 1.61 Bohr magnetons per cell
E above lowest polymorph ... 0 meV per atom
Total DFT energy (no corrections) ... -6.725 eV per atom

Structure (POSCAR):
```
ZrWS3
1.0
4.647 0.000 0.000
0.000 4.647 0.000
0.000 0.000 4.647
Zr W S
1 1 3
Cartesian
0.000 0.000 0.000
2.324 2.324 2.324
0.000 2.324 2.324
2.324 0.000 2.324
2.324 2.324 0.000
```

Record 2
The following is a PBE calculation of Zr9W4S after structural relaxation, from Alexandria via LeMat-Bulk.

Properties
E_form (uncorrected) ... -3.8 eV/f.u.
Magnetization ... 0.00 Bohr magnetons per cell
Total DFT energy (no corrections) ... -9.759 eV per atom

Structure (POSCAR):
```
Zr9W4S
1.0
8.785 0.000 0.000
-4.392 7.608 0.000
0.000 0.000 8.670
Zr W S
18 8 2
Cartesian
-1.656 4.116 2.168
0.000 2.989 4.782
0.000 2.989 8.223
-1.804 6.113 4.782
-1.804 6.113 8.223
2.589 1.495 0.447
2.589 1.495 3.888
1.656 4.116 2.168
0.000 6.984 2.168
4.392 0.624 6.503
2.737 3.492 6.503
1.804 6.113 4.782
1.804 6.113 8.223
6.196 1.495 0.447
6.196 1.495 3.888
4.392 4.618 0.447
4.392 4.618 3.888
6.048 3.492 6.503
0.000 0.000 0.000
0.000 0.000 4.335
0.000 1.657 2.168
-2.958 6.779 2.168
1.435 0.828 6.503
2.958 6.779 2.168
7.350 0.828 6.503
4.392 5.951 6.503
0.000 5.072 6.503
4.392 2.536 2.168
```

Record 3
The following is a PBE calculation of ZrWS3 after structural relaxation, from Alexandria via LeMat-Bulk.

Properties
E_form (uncorrected) ... 2.6 eV/f.u.
Magnetization ... 3.99 Bohr magnetons per cell
E above lowest polymorph ... 470 meV per atom
Total DFT energy (no corrections) ... -6.256 eV per atom

Structure (POSCAR):
```
ZrWS3
1.0
4.932 0.000 0.000
0.000 4.932 0.000
0.000 0.000 4.932
Zr W S
1 1 3
Cartesian
0.000 0.000 0.000
2.466 2.466 2.466
0.000 0.000 2.466
0.000 2.466 0.000
2.466 0.000 0.000
```

Record 4
The following is a PBE calculation of YS after structural relaxation, from Alexandria via LeMat-Bulk.

Properties
E_form (uncorrected) ... -3.0 eV/f.u.
Magnetization ... 0.28 Bohr magnetons per cell
Total DFT energy (no corrections) ... -6.782 eV per atom

Structure (POSCAR):
```
YS
1.0
4.367 0.000 0.000
-2.183 3.782 0.000
0.000 0.000 7.006
Y S
2 2
Cartesian
0.000 2.521 0.000
2.183 1.261 3.503
0.000 2.521 4.345
2.183 1.261 0.842
```

Record 5
The following is a PBE calculation of Y3S2 after structural relaxation, from Alexandria via LeMat-Bulk.

Properties
E_form (uncorrected) ... -7.7 eV/f.u.
Magnetization ... 0.00 Bohr magnetons per cell
E above lowest polymorph ... 50 meV per atom
Total DFT energy (no corrections) ... -7.074 eV per atom

Structure (POSCAR):
```
Y3S2
1.0
3.350 1.934 6.344
-3.350 1.934 6.344
0.000 -3.868 6.344
Y S
6 4
Cartesian
-2.248 -0.025 7.930
-1.102 -1.959 11.102
1.145 -1.934 7.930
-1.145 1.934 11.102
1.102 1.959 7.930
2.248 0.025 11.102
0.000 0.000 3.097
0.000 0.000 6.420
0.000 0.000 12.613
0.000 0.000 15.936
```

Record 6
The following is a PBE calculation of YS after structural relaxation, from Alexandria via LeMat-Bulk.

Properties
E_form (uncorrected) ... -3.6 eV/f.u.
Magnetization ... 0.00 Bohr magnetons per cell
Total DFT energy (no corrections) ... -7.082 eV per atom

Structure (POSCAR):
```
YS
1.0
-1.908 1.908 7.884
1.908 -1.908 7.884
1.908 1.908 -7.884
Y S
2 2
Cartesian
0.000 0.000 2.794
0.000 0.000 12.974
0.000 0.000 5.584
0.000 0.000 10.184
```

Record 7
The following is a PBE calculation of YS after structural relaxation, from Alexandria via LeMat-Bulk.

Properties
E_form (uncorrected) ... -4.0 eV/f.u.
Magnetization ... 0.00 Bohr magnetons per cell
Total DFT energy (no corrections) ... -7.288 eV per atom

Structure (POSCAR):
```
YS
1.0
0.000 2.772 2.772
2.772 0.000 2.772
2.772 2.772 0.000
Y S
1 1
Cartesian
0.000 0.000 0.000
2.772 2.772 2.772
```

Record 8
The following is a PBE calculation of YS after structural relaxation, from Alexandria via LeMat-Bulk.

Properties
E_form (uncorrected) ... -3.3 eV/f.u.
Magnetization ... 0.00 Bohr magnetons per cell
Total DFT energy (no corrections) ... -6.927 eV per atom

Structure (POSCAR):
```
YS
1.0
4.074 0.000 0.000
0.000 13.543 0.000
0.000 0.000 6.463
Y S
6 6
Cartesian
1.018 1.616 0.257
1.018 5.155 0.257
1.018 10.157 2.292
3.055 3.386 4.171
3.055 8.388 6.206
3.055 11.926 6.206
1.018 3.386 2.321
1.018 7.622 1.337
1.018 12.692 1.337
3.055 0.851 5.126
3.055 5.920 5.126
3.055 10.157 4.142
```

Question: What is the formula in the eighth record?
Answer: YS